BeAsPt2 | GGA-PBE | relaxed

The structure belongs to space group P4/mmm (No. 123); the cell edges are 4.293, 4.293 and 3.154 Å and the angles 90.00°, 90.00° and 90.00°. The asymmetric unit holds Be at (0.000, 0.000, 0.000), As at (0.500, 0.500, 0.000) and Pt at (0.000, 0.500, 0.500).

The size of the total moment is 0.0 μB/cell. The formation energy comes out at -145 meV/atom. Its final energy is -21.0 eV per cell.